Arrangement P

LaCdW: relaxed, GGA-PBEsol.

Summary:
N(E_F): 3.46 states/eV/f.u.

Structure (CIF):
```
data_LaCdW
_cell_length_a 5.1435
_cell_length_b 5.1435
_cell_length_c 2.8618
_cell_angle_alpha 90.00
_cell_angle_beta 90.00
_cell_angle_gamma 120.00
_symmetry_space_group_name_H-M 'P -6 m 2'
_symmetry_Int_Tables_number 187
_symmetry_space_group_name_Hall 'P -6 2'
loop_
_atom_site_label
_atom_site_type_symbol
_atom_site_fract_x
_atom_site_fract_y
_atom_site_fract_z
_atom_site_occupancy
La1 La 0.0000 0.0000 0.0000 1
Cd1 Cd 0.6667 0.3333 0.5000 1
W1 W 0.3333 0.6667 0.5000 1
```


Arrangement Q

LaCdW: relaxed, GGA-PBEsol.

Summary:
N(E_F): 2.76 states/eV/f.u.

Structure (CIF):
```
data_LaCdW
_cell_length_a 2.969
_cell_length_b 3.890
_cell_length_c 11.679
_cell_angle_alpha 90.00
_cell_angle_beta 90.00
_cell_angle_gamma 90.00
_symmetry_space_group_name_H-M 'I m m 2'
_symmetry_Int_Tables_number 44
_symmetry_space_group_name_Hall 'I 2 -2'
loop_
_atom_site_label
_atom_site_type_symbol
_atom_site_fract_x
_atom_site_fract_y
_atom_site_fract_z
_atom_site_occupancy
La1 La 0.000 0.000 0.000 1
Cd1 Cd 0.000 0.000 0.296 1
W1 W 0.000 0.000 0.672 1
```


Least stable = arrangement P


Arrangement P

La2ZnCd: relaxed, GGA-PBEsol.

Summary:
N(E_F): 4.51 states/eV/f.u.

Structure (CIF):
```
data_La2ZnCd
_cell_length_a 7.559
_cell_length_b 7.559
_cell_length_c 7.559
_cell_angle_alpha 90.00
_cell_angle_beta 90.00
_cell_angle_gamma 90.00
_symmetry_space_group_name_H-M 'F m -3 m'
_symmetry_Int_Tables_number 225
_symmetry_space_group_name_Hall '-F 4 2 3'
loop_
_atom_site_label
_atom_site_type_symbol
_atom_site_fract_x
_atom_site_fract_y
_atom_site_fract_z
_atom_site_occupancy
La1 La 0.250 0.250 0.250 1
Zn1 Zn 0.000 0.000 0.000 1
Cd1 Cd 0.000 0.000 0.500 1
```


Arrangement Q

La2ZnCd: relaxed, GGA-PBEsol.

Summary:
N(E_F): 3.32 states/eV/f.u.

Structure (CIF):
```
data_La2ZnCd
_cell_length_a 3.770
_cell_length_b 3.770
_cell_length_c 7.514
_cell_angle_alpha 90.00
_cell_angle_beta 90.00
_cell_angle_gamma 90.00
_symmetry_space_group_name_H-M 'P 4/m m m'
_symmetry_Int_Tables_number 123
_symmetry_space_group_name_Hall '-P 4 2'
loop_
_atom_site_label
_atom_site_type_symbol
_atom_site_fract_x
_atom_site_fract_y
_atom_site_fract_z
_atom_site_occupancy
La1 La 0.000 0.000 0.229 1
Zn1 Zn 0.500 0.500 0.000 1
Cd1 Cd 0.500 0.500 0.500 1
```


Arrangement R

La2ZnCd: relaxed, GGA-PBEsol.

Summary:
N(E_F): 3.57 states/eV/f.u.

Structure (CIF):
```
data_La2ZnCd
_cell_length_a 9.991
_cell_length_b 3.624
_cell_length_c 6.365
_cell_angle_alpha 90.00
_cell_angle_beta 101.82
_cell_angle_gamma 90.00
_symmetry_space_group_name_H-M 'C 1 2/m 1'
_symmetry_Int_Tables_number 12
_symmetry_space_group_name_Hall '-C 2y'
loop_
_atom_site_label
_atom_site_type_symbol
_atom_site_fract_x
_atom_site_fract_y
_atom_site_fract_z
_atom_site_occupancy
La1 La 0.245 0.000 0.232 1
Zn1 Zn 0.000 0.500 0.000 1
Cd1 Cd 0.000 0.000 0.500 1
```


Least stable = arrangement R


Arrangement P

La2ZnCd: relaxed, GGA-PBEsol.

Summary:
N(E_F): 3.11 states/eV/f.u.

Structure (CIF):
```
data_La2ZnCd
_cell_length_a 3.729
_cell_length_b 5.217
_cell_length_c 10.653
_cell_angle_alpha 90.00
_cell_angle_beta 90.00
_cell_angle_gamma 90.00
_symmetry_space_group_name_H-M 'I m m 2'
_symmetry_Int_Tables_number 44
_symmetry_space_group_name_Hall 'I 2 -2'
loop_
_atom_site_label
_atom_site_type_symbol
_atom_site_fract_x
_atom_site_fract_y
_atom_site_fract_z
_atom_site_occupancy
La1 La 0.000 0.000 0.000 1
La2 La 0.000 0.500 0.216 1
Zn1 Zn 0.000 0.500 0.753 1
Cd1 Cd 0.000 0.000 0.439 1
```


Arrangement Q

La2ZnCd: relaxed, GGA-PBEsol.

Summary:
N(E_F): 3.31 states/eV/f.u.

Structure (CIF):
```
data_La2ZnCd
_cell_length_a 3.673
_cell_length_b 5.130
_cell_length_c 5.494
_cell_angle_alpha 90.00
_cell_angle_beta 90.00
_cell_angle_gamma 90.00
_symmetry_space_group_name_H-M 'P m m 2'
_symmetry_Int_Tables_number 25
_symmetry_space_group_name_Hall 'P 2 -2'
loop_
_atom_site_label
_atom_site_type_symbol
_atom_site_fract_x
_atom_site_fract_y
_atom_site_fract_z
_atom_site_occupancy
La1 La 0.000 0.000 0.000 1
La2 La 0.000 0.500 0.384 1
Zn1 Zn 0.500 0.500 0.869 1
Cd1 Cd 0.500 0.000 0.523 1
```


Least stable = arrangement P


Arrangement P

Li2CdPb2: relaxed, GGA-PBEsol.

Summary:
N(E_F): 1.54 states/eV/f.u.

Structure (CIF):
```
data_Li2CdPb2
_cell_length_a 8.019
_cell_length_b 8.019
_cell_length_c 3.560
_cell_angle_alpha 90.00
_cell_angle_beta 90.00
_cell_angle_gamma 90.00
_symmetry_space_group_name_H-M 'P 4/m b m'
_symmetry_Int_Tables_number 127
_symmetry_space_group_name_Hall '-P 4 2ab'
loop_
_atom_site_label
_atom_site_type_symbol
_atom_site_fract_x
_atom_site_fract_y
_atom_site_fract_z
_atom_site_occupancy
Li1 Li 0.156 0.344 0.000 1
Cd1 Cd 0.000 0.000 0.500 1
Pb1 Pb 0.144 0.644 0.500 1
```


Arrangement Q

Li2CdPb2: relaxed, GGA-PBEsol.

Summary:
N(E_F): 1.90 states/eV/f.u.

Structure (CIF):
```
data_Li2CdPb2
_cell_length_a 4.161
_cell_length_b 4.161
_cell_length_c 13.575
_cell_angle_alpha 90.00
_cell_angle_beta 90.00
_cell_angle_gamma 90.00
_symmetry_space_group_name_H-M 'I 4/m m m'
_symmetry_Int_Tables_number 139
_symmetry_space_group_name_Hall '-I 4 2'
loop_
_atom_site_label
_atom_site_type_symbol
_atom_site_fract_x
_atom_site_fract_y
_atom_site_fract_z
_atom_site_occupancy
Li1 Li 0.000 0.500 0.250 1
Cd1 Cd 0.000 0.000 0.000 1
Pb1 Pb 0.000 0.000 0.394 1
```


Least stable = arrangement Q